19
Lattice="4.773 2.756 4.570 -4.773 2.756 4.570 0.000 -5.512 4.570" Properties=species:S:1:pos:R:3 comment="GGA-PBE Sr2Li12Pd5, optimized geometry" sg="No. 166" e_tot_ev_per_atom=-3.046 formation_enthalpy_0k_ev_per_fu=-5.573 crystal_system=trigonal pbc="T T T"
Sr 0.000 0.000 2.409
Sr 0.000 0.000 11.299
Li 0.000 -2.534 4.357
Li -2.194 1.267 4.357
Li -1.259 -2.180 6.854
Li -2.517 0.000 6.854
Li -2.194 -1.267 9.351
Li 1.259 -2.180 6.854
Li -1.259 2.180 6.854
Li 2.194 1.267 4.357
Li 2.517 0.000 6.854
Li 1.259 2.180 6.854
Li 2.194 -1.267 9.351
Li 0.000 2.534 9.351
Pd -2.387 -1.378 4.570
Pd 0.000 0.000 5.463
Pd -2.387 1.378 9.139
Pd 0.000 2.756 4.569
Pd 0.000 0.000 8.245